! SrCe4Se8, optimized geometry, DFT PBE; values from VASP
! Spin magnetization in μB per atom: 0.16
! ΔE_f (raw) in eV/atom: -1.746
! D(E_F) in states/eV per atom: 1.208
! E in eV/atom: -5.85
&SYSTEM
  ibrav = 0, nat = 13, ntyp = 3
/
ATOMIC_SPECIES
Ce 140.12 Ce.upf
Se 78.96 Se.upf
Sr 87.62 Sr.upf
ATOMIC_POSITIONS crystal
Ce 0.7264 0.2234 0.9498
Se 0.6904 0.5009 0.1914
Ce 0.2736 0.7766 0.0502
Se 0.7118 0.0442 0.2110
Se 0.1895 0.0335 0.2230
Se 0.8105 0.9665 0.7770
Sr 0.0000 0.5000 0.5000
Se 0.2882 0.9558 0.7890
Se 0.3096 0.4991 0.8086
Se 0.8332 0.5008 0.7890
Se 0.1668 0.4992 0.2110
Ce 0.7549 0.7549 0.0000
Ce 0.2451 0.2451 0.0000
CELL_PARAMETERS angstrom
8.3419 0.0002 -2.0206
-4.8197 6.8697 -1.8018
-0.3385 -0.5414 8.4227

! ScHgPd6, optimized geometry, DFT PBE; values from VASP
! Spin magnetization in μB per atom: 0.00
! Formation energy from the elements in eV per atom: -0.36
! D(E_F) in states/eV per atom: 0.466
! E in eV/atom: -5.08
! Offset from the most stable computed form in meV per atom: 127
&SYSTEM
  ibrav = 0, nat = 8, ntyp = 3
/
ATOMIC_SPECIES
Hg 200.59 Hg.upf
Pd 106.42 Pd.upf
Sc 44.96 Sc.upf
ATOMIC_POSITIONS crystal
Hg 0.0000 0.0000 0.0000
Pd 0.2488 0.0500 0.2395
Pd 0.9481 0.4618 0.8395
Pd 0.0519 0.5382 0.1605
Pd 0.5402 0.7508 0.6551
Pd 0.7512 0.9500 0.7605
Sc 0.5000 0.5000 0.5000
Pd 0.4598 0.2492 0.3449
CELL_PARAMETERS angstrom
6.9863 0.3867 -0.2201
3.8311 6.6054 -0.0012
3.4648 2.4292 2.9937

! AcNd2IrN4, optimized geometry, DFT PBE; values from VASP
! Spin magnetization in μB per atom: 0.00
! ΔE_f (raw) in eV/atom: -0.763
! D(E_F) in states/eV per atom: 0.417
! E in eV/atom: -7.74
&SYSTEM
  ibrav = 0, nat = 16, ntyp = 4
/
ATOMIC_SPECIES
Nd 144.24 Nd.upf
N 14.01 N.upf
Ac 227.00 Ac.upf
Ir 192.22 Ir.upf
ATOMIC_POSITIONS crystal
Nd 0.6309 0.2617 0.4551
N 0.0000 0.0000 0.0000
Ac 0.1060 0.2119 0.7500
Ac 0.8940 0.7881 0.2500
Ir 0.8446 0.6893 0.7500
N 0.2721 0.5442 0.3697
N 0.7279 0.4558 0.6303
Ir 0.1554 0.3107 0.2500
N 0.7279 0.4558 0.8697
Nd 0.6309 0.2617 0.0449
N 0.4353 0.8706 0.7500
N 0.5647 0.1294 0.2500
N 0.0000 0.0000 0.5000
N 0.2721 0.5442 0.1303
Nd 0.3691 0.7383 0.5449
Nd 0.3691 0.7383 0.9551
CELL_PARAMETERS angstrom
-0.5841 -0.4427 -3.4927
-5.5391 -1.4163 2.9291
-3.4240 11.5480 -0.8911

! LaPm2Y4Mg, optimized geometry, DFT PBE; values from VASP
! Spin magnetization in μB per atom: 0.00
! Formation energy from the elements in eV per atom: 0.03
! D(E_F) in states/eV per atom: 1.544
! E in eV/atom: -5.21
&SYSTEM
  ibrav = 0, nat = 8, ntyp = 4
/
ATOMIC_SPECIES
Pm 145.00 Pm.upf
Y 88.91 Y.upf
Mg 24.30 Mg.upf
La 138.91 La.upf
ATOMIC_POSITIONS crystal
Pm 0.0000 0.0000 0.0000
Y 0.0000 0.7496 0.7503
Y 0.5000 0.7498 0.2501
Mg 0.0000 0.5000 0.5000
Pm 0.5000 0.0000 0.5000
Y 0.5000 0.2502 0.7499
La 0.5000 0.5000 0.0000
Y 0.0000 0.2504 0.2497
CELL_PARAMETERS angstrom
-3.7340 2.4466 2.2956
-7.3543 -3.7591 -7.9560
-2.2678 -4.3849 0.9846

! Er2GaSi3Pt4, optimized geometry, DFT PBE; values from VASP
! Spin magnetization in μB per atom: 0.00
! ΔE_f (raw) in eV/atom: -1.057
! D(E_F) in states/eV per atom: 0.498
! E in eV/atom: -6.32
&SYSTEM
  ibrav = 0, nat = 10, ntyp = 4
/
ATOMIC_SPECIES
Er 167.26 Er.upf
Si 28.09 Si.upf
Ga 69.72 Ga.upf
Pt 195.08 Pt.upf
ATOMIC_POSITIONS crystal
Er 0.5000 0.0000 0.2519
Si 0.0000 0.0000 0.5000
Ga 0.5000 0.5000 0.5000
Si 0.5000 0.0000 0.8690
Si 0.0000 0.5000 0.1310
Pt 0.0000 0.5000 0.3636
Pt 0.0000 0.0000 0.0000
Pt 0.5000 0.0000 0.6364
Er 0.0000 0.5000 0.7481
Pt 0.5000 0.5000 0.0000
CELL_PARAMETERS angstrom
-1.3244 1.6705 3.5913
2.4491 -2.6307 2.1268
7.5015 6.7005 -0.3504

! MgIn2Ge, optimized geometry, DFT PBE; values from VASP
! Spin magnetization in μB per atom: 0.00
! Formation energy from the elements in eV per atom: 0.07
! D(E_F) in states/eV per atom: 0.417
! E in eV/atom: -2.86
&SYSTEM
  ibrav = 0, nat = 8, ntyp = 3
/
ATOMIC_SPECIES
In 114.82 In.upf
Mg 24.30 Mg.upf
Ge 72.64 Ge.upf
ATOMIC_POSITIONS crystal
In 0.8750 0.9378 0.7500
Mg 0.5000 0.5000 0.0000
Ge 0.7500 0.2500 0.5000
Ge 0.0000 0.0000 0.0000
Mg 0.2500 0.7500 0.5000
In 0.6878 0.1250 0.2500
In 0.0622 0.6250 0.2500
In 0.3750 0.3122 0.7500
CELL_PARAMETERS angstrom
8.6640 0.0000 0.0000
0.0000 8.6640 0.0000
4.3320 4.3320 2.7428

! Cu2TcSe, optimized geometry, DFT PBE; values from VASP
! Spin magnetization in μB per atom: 0.00
! ΔE_f (raw) in eV/atom: 0.108
! D(E_F) in states/eV per atom: 0.242
! E in eV/atom: -5.40
&SYSTEM
  ibrav = 0, nat = 4, ntyp = 3
/
ATOMIC_SPECIES
Tc 98.00 Tc.upf
Se 78.96 Se.upf
Cu 63.55 Cu.upf
ATOMIC_POSITIONS crystal
Tc 0.5000 0.5000 0.7375
Se 0.0000 0.0000 0.5244
Cu 0.5000 0.5000 0.2177
Cu 0.0000 0.0000 0.0203
CELL_PARAMETERS angstrom
-1.6154 -2.0978 -1.7354
2.3403 -0.0388 -2.1316
2.4792 -4.2245 2.7988

! In2SiN, optimized geometry, DFT PBE; values from VASP
! Spin magnetization in μB per atom: 0.00
! ΔE_f (raw) in eV/atom: 0.181
! D(E_F) in states/eV per atom: 0.176
! E in eV/atom: -4.63
! Offset from the most stable computed form in meV per atom: 314
&SYSTEM
  ibrav = 0, nat = 8, ntyp = 3
/
ATOMIC_SPECIES
Si 28.09 Si.upf
N 14.01 N.upf
In 114.82 In.upf
ATOMIC_POSITIONS crystal
Si 0.6632 0.0464 0.6384
N 0.6367 0.5481 0.0883
In 0.7439 0.8304 0.0180
In 0.9793 0.6901 0.6312
Si 0.0374 0.1247 0.3106
In 0.1827 0.4759 0.2520
In 0.4142 0.3787 0.8159
N 0.5776 0.0921 0.4235
CELL_PARAMETERS angstrom
-0.8369 0.6121 2.9083
7.2145 -1.4342 0.7660
0.2660 7.3013 -3.0973

! SrLiAgHg, optimized geometry, DFT PBE; values from VASP
! Spin magnetization in μB per atom: 0.00
! Formation energy from the elements in eV per atom: -0.34
! D(E_F) in states/eV per atom: 0.538
! E in eV/atom: -2.03
! Offset from the most stable computed form in meV per atom: 0
&SYSTEM
  ibrav = 0, nat = 4, ntyp = 4
/
ATOMIC_SPECIES
Sr 87.62 Sr.upf
Hg 200.59 Hg.upf
Li 6.94 Li.upf
Ag 107.87 Ag.upf
ATOMIC_POSITIONS crystal
Sr 0.6160 0.2319 0.4899
Hg 0.4096 0.8193 0.8708
Li 0.1201 0.2402 0.0027
Ag 0.8206 0.6412 0.1040
CELL_PARAMETERS angstrom
-4.3204 0.9455 1.8124
0.3913 -2.3970 -4.1192
1.2955 -3.3336 4.8273

! Na3SnAs, optimized geometry, DFT PBE; values from VASP
! Spin magnetization in μB per atom: 0.23
! Formation energy from the elements in eV per atom: 0.49
! D(E_F) in states/eV per atom: 1.337
! E in eV/atom: -2.03
! Offset from the most stable computed form in meV per atom: 698
&SYSTEM
  ibrav = 0, nat = 5, ntyp = 3
/
ATOMIC_SPECIES
Na 22.99 Na.upf
As 74.92 As.upf
Sn 118.71 Sn.upf
ATOMIC_POSITIONS crystal
Na 0.0000 0.5000 0.0000
Na 0.5000 0.0000 0.0000
As 0.5000 0.5000 0.5000
Na 0.0000 0.0000 0.5000
Sn 0.0000 0.0000 0.0000
CELL_PARAMETERS angstrom
5.8000 0.0000 0.0000
0.0000 5.8000 0.0000
0.0000 0.0000 5.8000

! Li2Cd2Bi, optimized geometry, DFT PBE; values from VASP
! Spin magnetization in μB per atom: 0.00
! Formation energy from the elements in eV per atom: -0.20
! D(E_F) in states/eV per atom: 0.288
! E in eV/atom: -2.11
! Offset from the most stable computed form in meV per atom: 0
&SYSTEM
  ibrav = 0, nat = 10, ntyp = 3
/
ATOMIC_SPECIES
Li 6.94 Li.upf
Bi 208.98 Bi.upf
Cd 112.41 Cd.upf
ATOMIC_POSITIONS crystal
Li 0.1680 0.6680 0.5000
Bi 0.5000 0.5000 0.0000
Li 0.3320 0.1680 0.5000
Cd 0.1269 0.3731 0.0000
Cd 0.3731 0.8731 0.0000
Bi 0.0000 0.0000 0.0000
Li 0.8320 0.3320 0.5000
Li 0.6680 0.8320 0.5000
Cd 0.8731 0.6269 0.0000
Cd 0.6269 0.1269 0.0000
CELL_PARAMETERS angstrom
-0.7232 0.7450 8.0920
-0.6182 -8.1055 0.6910
3.3380 -0.2274 0.3193

! ReBr4F4, optimized geometry, DFT PBE; values from VASP
! Spin magnetization in μB per atom: 0.00
! ΔE_f (raw) in eV/atom: -0.557
! D(E_F) in states/eV per atom: 0.426
! E in eV/atom: -3.52
&SYSTEM
  ibrav = 0, nat = 18, ntyp = 3
/
ATOMIC_SPECIES
F 19.00 F.upf
Re 186.21 Re.upf
Br 79.90 Br.upf
ATOMIC_POSITIONS crystal
F 0.0000 0.2200 0.2507
Re 0.5000 0.5000 0.5000
Br 0.2302 0.0000 0.2434
Br 0.0000 0.2302 0.7566
F 0.2200 0.0000 0.7493
Br 0.0000 0.7698 0.7566
F 0.5000 0.7200 0.2493
Br 0.7698 0.0000 0.2434
F 0.5000 0.2800 0.2493
Br 0.2698 0.5000 0.2566
F 0.7200 0.5000 0.7507
Br 0.5000 0.7302 0.7434
Re 0.0000 0.0000 0.0000
Br 0.5000 0.2698 0.7434
F 0.7800 0.0000 0.7493
Br 0.7302 0.5000 0.2566
F 0.0000 0.7800 0.2507
F 0.2800 0.5000 0.7507
CELL_PARAMETERS angstrom
-6.3222 -5.7683 1.3425
1.9964 -0.2269 8.4267
-3.3664 3.8997 0.9026

! ThGa2Sn, optimized geometry, DFT PBE; values from VASP
! Spin magnetization in μB per atom: 0.00
! Formation energy from the elements in eV per atom: -0.24
! D(E_F) in states/eV per atom: 0.639
! E in eV/atom: -4.61
! Offset from the most stable computed form in meV per atom: 229
&SYSTEM
  ibrav = 0, nat = 4, ntyp = 3
/
ATOMIC_SPECIES
Ga 69.72 Ga.upf
Sn 118.71 Sn.upf
Th 232.04 Th.upf
ATOMIC_POSITIONS crystal
Ga 0.2753 0.2753 0.1740
Sn 0.0000 0.0000 0.0000
Th 0.5000 0.5000 0.5000
Ga 0.7247 0.7247 0.8260
CELL_PARAMETERS angstrom
4.7315 0.0000 0.0000
2.3657 4.0976 0.0000
2.3657 1.3659 4.9268

! Bi5Pd4, optimized geometry, DFT PBE; values from VASP
! Spin magnetization in μB per atom: 0.00
! Formation energy from the elements in eV per atom: -0.17
! D(E_F) in states/eV per atom: 0.353
! E in eV/atom: -4.64
&SYSTEM
  ibrav = 0, nat = 9, ntyp = 2
/
ATOMIC_SPECIES
Bi 208.98 Bi.upf
Pd 106.42 Pd.upf
ATOMIC_POSITIONS crystal
Bi 0.7133 0.9520 0.6187
Pd 0.3380 0.0117 0.3106
Bi 0.2867 0.3813 0.0480
Bi 0.0000 0.3410 0.6590
Pd 0.6620 0.3216 0.3561
Bi 0.0000 0.9923 0.0077
Pd 0.3380 0.6439 0.6784
Bi 0.0000 0.6667 0.3333
Pd 0.6620 0.6894 0.9883
CELL_PARAMETERS angstrom
3.4533 -0.0007 -0.0006
1.7175 7.7885 0.1312
1.7175 1.1558 7.7034

! Rb2NpClF6, optimized geometry, DFT PBE; values from VASP
! Spin magnetization in μB per atom: 0.19
! ΔE_f (raw) in eV/atom: -2.963
! D(E_F) in states/eV per atom: 1.052
! E in eV/atom: -5.76
&SYSTEM
  ibrav = 0, nat = 10, ntyp = 4
/
ATOMIC_SPECIES
Rb 85.47 Rb.upf
F 19.00 F.upf
Cl 35.45 Cl.upf
Np 237.00 Np.upf
ATOMIC_POSITIONS crystal
Rb 0.6519 0.5955 0.1263
Rb 0.0672 0.9650 0.9601
F 0.2757 0.2577 0.8736
F 0.1254 0.9673 0.5128
Cl 0.6712 0.9948 0.5276
Np 0.3261 0.2961 0.0588
F 0.0153 0.5064 0.1507
F 0.5386 0.6131 0.6018
F 0.6433 0.0968 0.9620
F 0.3471 0.3687 0.2416
CELL_PARAMETERS angstrom
-7.6385 0.5007 3.2637
-2.4007 -4.5856 6.2432
-3.5536 0.9828 7.2392

! CdGePRh2, optimized geometry, DFT PBE; values from VASP
! Spin magnetization in μB per atom: 0.25
! Formation energy from the elements in eV per atom: 1.40
! D(E_F) in states/eV per atom: 1.034
! E in eV/atom: -3.73
&SYSTEM
  ibrav = 0, nat = 5, ntyp = 4
/
ATOMIC_SPECIES
Rh 102.91 Rh.upf
Cd 112.41 Cd.upf
P 30.97 P.upf
Ge 72.64 Ge.upf
ATOMIC_POSITIONS crystal
Rh 0.0000 0.0000 0.5000
Rh 0.5000 0.0000 0.0000
Cd 0.0000 0.0000 0.0000
P 0.0000 0.5000 0.0000
Ge 0.5000 0.5000 0.5000
CELL_PARAMETERS angstrom
4.9829 0.0000 0.0000
0.0000 4.5566 0.0000
0.0000 0.0000 4.9829

! CeTh3Sc, optimized geometry, DFT PBE; values from VASP
! Spin magnetization in μB per atom: 0.00
! Formation energy from the elements in eV per atom: 0.49
! D(E_F) in states/eV per atom: 1.976
! E in eV/atom: -6.42
! Offset from the most stable computed form in meV per atom: 309
&SYSTEM
  ibrav = 0, nat = 20, ntyp = 3
/
ATOMIC_SPECIES
Th 232.04 Th.upf
Ce 140.12 Ce.upf
Sc 44.96 Sc.upf
ATOMIC_POSITIONS crystal
Th 0.1054 0.1054 0.4129
Ce 0.0000 0.5000 0.0000
Th 0.8385 0.4843 0.2500
Th 0.5157 0.1615 0.7500
Sc 0.6719 0.6719 0.7500
Sc 0.3281 0.3281 0.2500
Th 0.4843 0.8385 0.2500
Ce 0.5000 0.0000 0.5000
Th 0.3189 0.6811 0.5000
Th 0.8946 0.8946 0.5871
Th 0.6811 0.3189 0.5000
Ce 0.5000 0.0000 0.0000
Th 0.1615 0.5157 0.7500
Sc 0.1054 0.1054 0.7500
Ce 0.0000 0.5000 0.5000
Th 0.8946 0.8946 0.9129
Th 0.1054 0.1054 0.0871
Sc 0.8946 0.8946 0.2500
Th 0.3189 0.6811 0.0000
Th 0.6811 0.3189 0.0000
CELL_PARAMETERS angstrom
7.9583 1.6547 0.0000
1.7143 7.9457 0.0000
0.0000 0.0000 10.8465

! LaPrBiN, optimized geometry, DFT PBE; values from VASP
! Spin magnetization in μB per atom: 0.00
! ΔE_f (raw) in eV/atom: -1.191
! D(E_F) in states/eV per atom: 0.129
! E in eV/atom: -6.67
&SYSTEM
  ibrav = 0, nat = 8, ntyp = 4
/
ATOMIC_SPECIES
N 14.01 N.upf
Bi 208.98 Bi.upf
La 138.91 La.upf
Pr 140.91 Pr.upf
ATOMIC_POSITIONS crystal
N 0.0000 0.5000 0.4150
Bi 0.5000 0.0000 0.1937
Bi 0.0000 0.5000 0.8063
La 0.5000 0.5000 0.5000
La 0.0000 0.0000 0.5000
Pr 0.5000 0.0000 0.8269
N 0.5000 0.0000 0.5850
Pr 0.0000 0.5000 0.1731
CELL_PARAMETERS angstrom
4.8023 0.0000 0.0000
0.0000 4.8023 0.0000
0.0000 0.0000 9.5241

! LaBe2ZnAu5, optimized geometry, DFT PBE; values from VASP
! Spin magnetization in μB per atom: 0.00
! Formation energy from the elements in eV per atom: -0.29
! D(E_F) in states/eV per atom: 0.260
! E in eV/atom: -3.63
&SYSTEM
  ibrav = 0, nat = 9, ntyp = 4
/
ATOMIC_SPECIES
Be 9.01 Be.upf
Au 196.97 Au.upf
Zn 65.41 Zn.upf
La 138.91 La.upf
ATOMIC_POSITIONS crystal
Be 0.5000 0.5000 0.8262
Au 0.0000 0.5000 0.2018
Zn 0.0000 0.0000 0.0000
Au 0.5000 0.5000 0.5000
La 0.0000 0.0000 0.5000
Au 0.0000 0.5000 0.7982
Au 0.5000 0.0000 0.2018
Be 0.5000 0.5000 0.1738
Au 0.5000 0.0000 0.7982
CELL_PARAMETERS angstrom
-1.9091 1.3014 -4.1049
-4.2770 -0.0509 1.9730
0.7843 7.0893 1.8829

! Ti5Al2Zn, optimized geometry, DFT PBE; values from VASP
! Spin magnetization in μB per atom: 0.31
! Formation energy from the elements in eV per atom: -0.16
! D(E_F) in states/eV per atom: 1.061
! E in eV/atom: -6.19
! Offset from the most stable computed form in meV per atom: 96
&SYSTEM
  ibrav = 0, nat = 16, ntyp = 3
/
ATOMIC_SPECIES
Ti 47.87 Ti.upf
Zn 65.41 Zn.upf
Al 26.98 Al.upf
ATOMIC_POSITIONS crystal
Ti 0.1824 0.9948 0.6772
Ti 0.5000 0.5000 0.0000
Ti 0.9948 0.4948 0.6772
Ti 0.8176 0.0052 0.3228
Ti 0.4948 0.6824 0.6772
Ti 0.3176 0.8176 0.3228
Zn 0.2500 0.2500 0.5000
Zn 0.7500 0.7500 0.5000
Ti 0.6824 0.1824 0.6772
Ti 0.5052 0.3176 0.3228
Al 0.8598 0.6402 0.0000
Al 0.3598 0.8598 0.0000
Al 0.6402 0.1402 0.0000
Ti 0.0000 0.0000 0.0000
Ti 0.0052 0.5052 0.3228
Al 0.1402 0.3598 0.0000
CELL_PARAMETERS angstrom
7.0402 0.0000 0.0000
0.0000 7.0402 0.0000
-3.5201 -3.5201 5.3779

! PmY5Ru6, optimized geometry, DFT PBE; values from VASP
! Spin magnetization in μB per atom: 0.00
! Formation energy from the elements in eV per atom: -0.25
! D(E_F) in states/eV per atom: 1.063
! E in eV/atom: -7.98
&SYSTEM
  ibrav = 0, nat = 12, ntyp = 3
/
ATOMIC_SPECIES
Y 88.91 Y.upf
Pm 145.00 Pm.upf
Ru 101.07 Ru.upf
ATOMIC_POSITIONS crystal
Y 0.3314 0.8314 0.6627
Y 0.6663 0.6663 0.3326
Pm 0.0000 0.0000 0.0000
Ru 0.5000 0.7501 0.0000
Ru 0.1668 0.9171 0.3337
Ru 0.5000 0.2499 0.0000
Ru 0.8332 0.0829 0.6663
Y 0.0000 0.5000 0.0000
Y 0.6686 0.1686 0.3373
Ru 0.8332 0.5834 0.6663
Y 0.3337 0.3337 0.6674
Ru 0.1668 0.4166 0.3337
CELL_PARAMETERS angstrom
4.6496 0.0210 -1.3542
-0.9413 6.0253 -3.1374
-0.0813 0.4352 8.3551

! Dy6Zn5Co, optimized geometry, DFT PBE; values from VASP
! Spin magnetization in μB per atom: 0.00
! Formation energy from the elements in eV per atom: -0.32
! D(E_F) in states/eV per atom: 0.624
! E in eV/atom: -3.75
&SYSTEM
  ibrav = 0, nat = 12, ntyp = 3
/
ATOMIC_SPECIES
Dy 162.50 Dy.upf
Zn 65.41 Zn.upf
Co 58.93 Co.upf
ATOMIC_POSITIONS crystal
Dy 0.8399 0.7565 0.3198
Dy 0.1601 0.7565 0.6802
Dy 0.5000 0.7619 0.0000
Zn 0.0000 0.5000 0.0000
Dy 0.5000 0.2381 0.0000
Zn 0.6741 0.0000 0.6519
Zn 0.6702 0.5000 0.6606
Zn 0.3298 0.5000 0.3394
Zn 0.3259 0.0000 0.3481
Dy 0.8399 0.2435 0.3198
Co 0.0000 0.0000 0.0000
Dy 0.1601 0.2435 0.6802
CELL_PARAMETERS angstrom
-3.2147 3.5149 -1.4849
-4.9556 -2.7554 4.2069
0.6598 6.1721 4.8195